(A)
The following is a DFT calculation (PBE) of Tm3Tl2In2 after structural relaxation.

Properties
Total moment   0.00 μB per atom
Volume   25.96 A^3/atom
DOS(E_F)   4.0 states/eV per cell
Symmetry   Cmmm

Structure (POSCAR):
```
Tm3Tl2In2
1.0
-2.2422 3.8308 -1.3414
-2.8689 -1.7961 -0.3338
-3.8154 4.1802 10.3007
Tm Tl In
3 2 2
Direct
0.0000 0.0000 0.0000
0.8462 0.0000 0.3076
0.1538 0.0000 0.6924
0.5726 0.5000 0.8547
0.4274 0.5000 0.1453
0.2873 0.5000 0.4253
0.7127 0.5000 0.5747
```

(B)
The following is a DFT calculation (PBE) of Tm3Tl2In2 after structural relaxation.

Properties
Total moment   0.07 μB per atom
Volume   26.61 A^3/atom
DOS(E_F)   6.0 states/eV per cell
Symmetry   Immm

Structure (POSCAR):
```
Tm3Tl2In2
1.0
4.8708 0.0000 0.0000
0.0000 3.5918 0.0000
-2.4354 -1.7959 10.6483
Tm Tl In
3 2 2
Direct
0.7013 0.2013 0.4026
0.2987 0.7987 0.5974
0.0000 0.0000 0.0000
0.4303 0.4303 0.8606
0.5697 0.5697 0.1394
0.1521 0.6521 0.3041
0.8479 0.3479 0.6959
```

Which of them is most stable? Easy: (A).

(A)
The following is a DFT calculation (PBE) of Tm2TlIn2 after structural relaxation.

Properties
Total moment   0.00 μB per atom
Volume   25.79 A^3/atom
DOS(E_F)   3.0 states/eV per cell
Symmetry   Cmmm

Structure (POSCAR):
```
Tm2TlIn2
1.0
-2.7194 -0.7950 -1.8891
-1.3433 -3.1208 3.2472
-3.5958 7.2834 2.1113
In Tl Tm
2 1 2
Direct
0.0000 0.1977 0.3954
0.0000 0.8023 0.6046
0.0000 0.0000 0.0000
0.5000 0.6120 0.2239
0.5000 0.3880 0.7761
```

(B)
The following is a DFT calculation (PBE) of Tm2TlIn2 after structural relaxation.

Properties
Total moment   0.00 μB per atom
Volume   26.65 A^3/atom
DOS(E_F)   4.6 states/eV per cell
Symmetry   P4/mbm

Structure (POSCAR):
```
Tm2TlIn2
1.0
4.5771 0.0000 0.0000
0.0000 7.6302 0.0000
0.0000 0.0000 7.6302
Tl Tm In
2 4 4
Direct
0.0000 0.0000 0.0000
0.0000 0.5000 0.5000
0.5000 0.6669 0.8331
0.5000 0.1669 0.6669
0.5000 0.3331 0.1669
0.5000 0.8331 0.3331
0.0000 0.8669 0.6331
0.0000 0.6331 0.1331
0.0000 0.3669 0.8669
0.0000 0.1331 0.3669
```

Which of them is most stable? Easy: (A).

(A)
The following is a DFT calculation (PBE) of Tl2VIn after structural relaxation.

Properties
Total moment   0.81 μB per atom
Volume   26.62 A^3/atom
DOS(E_F)   9.1 states/eV per cell
Symmetry   I-42d

Structure (POSCAR):
```
Tl2VIn
1.0
-3.1338 -7.0019 -3.4260
4.8781 1.1186 -6.7481
3.0558 -4.5600 -3.7769
Tl In V
4 2 2
Direct
0.3750 0.4125 0.7500
0.1625 0.6250 0.2500
0.5875 0.1250 0.2500
0.8750 0.8375 0.7500
0.0000 0.0000 0.0000
0.7500 0.2500 0.5000
0.2500 0.7500 0.5000
0.5000 0.5000 0.0000
```

(B)
The following is a DFT calculation (PBE) of Tl2VIn after structural relaxation.

Properties
Total moment   0.90 μB per atom
Volume   24.61 A^3/atom
DOS(E_F)   4.0 states/eV per cell
Symmetry   Fm-3m

Structure (POSCAR):
```
Tl2VIn
1.0
0.0000 3.6647 3.6647
3.6647 0.0000 3.6647
3.6647 3.6647 0.0000
Tl V In
2 1 1
Direct
0.2500 0.2500 0.2500
0.7500 0.7500 0.7500
0.0000 0.0000 0.0000
0.5000 0.5000 0.5000
```

Which of them is most stable? Easy: (B).

(A)
The following is a DFT calculation (PBE) of TlVIn2 after structural relaxation.

Properties
Total moment   0.83 μB per atom
Volume   26.22 A^3/atom
DOS(E_F)   4.7 states/eV per cell
Symmetry   R-3m

Structure (POSCAR):
```
TlVIn2
1.0
3.2347 0.0000 0.0000
1.6174 2.8013 0.0000
1.6174 0.9338 11.5740
Tl V In
1 1 2
Direct
0.5000 0.5000 0.5000
0.0000 0.0000 0.0000
0.9184 0.9184 0.2447
0.0816 0.0816 0.7553
```

(B)
The following is a DFT calculation (PBE) of TlVIn2 after structural relaxation.

Properties
Total moment   0.95 μB per atom
Volume   24.25 A^3/atom
DOS(E_F)   3.8 states/eV per cell
Symmetry   Fm-3m

Structure (POSCAR):
```
TlVIn2
1.0
-4.7183 -1.1022 1.7658
-3.0893 3.7893 1.6409
-4.1564 1.3139 -2.7555
Tl V In
1 1 2
Direct
0.5000 0.5000 0.5000
0.0000 0.0000 0.0000
0.2500 0.2500 0.2500
0.7500 0.7500 0.7500
```

Which of them is most stable? Easy: (B).

(A)
The following is a DFT calculation (PBE) of TlIn2W after structural relaxation.

Properties
Total moment   0.00 μB per atom
Volume   25.87 A^3/atom
DOS(E_F)   3.5 states/eV per cell
Symmetry   I-42d

Structure (POSCAR):
```
TlIn2W
1.0
-6.4802 3.0478 4.5529
3.2146 -3.5953 6.9822
-0.1303 2.1161 6.3063
Tl In W
2 4 2
Direct
0.0000 0.0000 0.0000
0.7500 0.2500 0.5000
0.3750 0.4363 0.7500
0.8750 0.8137 0.7500
0.5637 0.1250 0.2500
0.1863 0.6250 0.2500
0.5000 0.5000 0.0000
0.2500 0.7500 0.5000
```

(B)
The following is a DFT calculation (PBE) of TlIn2W after structural relaxation.

Properties
Total moment   0.00 μB per atom
Volume   21.95 A^3/atom
DOS(E_F)   3.0 states/eV per cell
Symmetry   P4/mmm

Structure (POSCAR):
```
TlIn2W
1.0
5.3489 0.0000 0.0000
0.0000 5.3489 0.0000
0.0000 0.0000 3.0682
In Tl W
2 1 1
Direct
0.5000 0.5000 0.0000
0.0000 0.0000 0.0000
0.5000 0.0000 0.5000
0.0000 0.5000 0.5000
```

(C)
The following is a DFT calculation (PBE) of TlIn2W after structural relaxation.

Properties
Total moment   0.00 μB per atom
Volume   23.21 A^3/atom
DOS(E_F)   2.2 states/eV per cell
Symmetry   Cmmm

Structure (POSCAR):
```
TlIn2W
1.0
2.9986 0.0229 0.0000
-0.8595 2.8729 0.0000
0.0000 0.0000 10.7509
In Tl W
2 1 1
Direct
0.0000 0.0000 0.9642
0.0000 0.0000 0.5358
0.5000 0.5000 0.2500
0.5000 0.5000 0.7500
```

(D)
The following is a DFT calculation (PBE) of TlIn2W after structural relaxation.

Properties
Total moment   0.00 μB per atom
Volume   21.46 A^3/atom
DOS(E_F)   2.4 states/eV per cell
Symmetry   Imm2

Structure (POSCAR):
```
TlIn2W
1.0
5.6569 -0.0196 -0.0031
2.4372 5.1050 0.0031
-3.7302 -3.0470 2.9668
Tl In W
1 2 1
Direct
0.4896 0.4896 0.0000
0.7509 0.2509 0.5000
0.0124 0.0124 0.0000
0.2472 0.7472 0.5000
```

Which of them is most stable? Easy: (C).

(A)
The following is a DFT calculation (PBE) of TlIn2W after structural relaxation.

Properties
Total moment   0.00 μB per atom
Volume   21.93 A^3/atom
DOS(E_F)   2.6 states/eV per cell
Symmetry   Cmmm

Structure (POSCAR):
```
TlIn2W
1.0
5.4123 0.5134 0.0000
-1.3157 5.2750 0.0000
0.0000 0.0000 3.0015
W In Tl
1 2 1
Direct
0.0000 0.5000 0.5000
0.0000 0.0000 0.0000
0.5000 0.5000 0.0000
0.5000 0.0000 0.5000
```

(B)
The following is a DFT calculation (PBE) of TlIn2W after structural relaxation.

Properties
Total moment   0.00 μB per atom
Volume   21.62 A^3/atom
DOS(E_F)   1.2 states/eV per cell
Symmetry   Pmmm

Structure (POSCAR):
```
TlIn2W
1.0
4.7683 0.0000 0.0000
0.0000 3.0539 0.0435
0.0000 2.9641 5.9812
In Tl W
2 1 1
Direct
0.0000 0.0132 0.9856
0.0000 0.4868 0.5144
0.5000 0.2500 0.2500
0.5000 0.7500 0.7500
```

(C)
The following is a DFT calculation (PBE) of TlIn2W after structural relaxation.

Properties
Total moment   0.41 μB per atom
Volume   21.82 A^3/atom
DOS(E_F)   2.1 states/eV per cell
Symmetry   P4/mmm

Structure (POSCAR):
```
TlIn2W
1.0
-1.7976 -4.0602 0.5680
2.6534 -0.6905 3.4617
-3.0522 1.7268 2.6839
W Tl In
1 1 2
Direct
0.5000 0.0000 0.5000
0.5000 0.5000 0.0000
0.0000 0.0000 0.0000
0.0000 0.5000 0.5000
```

Which of them is most stable? Easy: (B).